Entry 1:
Compound: Dy5Ho5Th
Source: the Alexandria database
Functional: PBE
Structure: relaxed

a b c (Å): 6.0286 6.0286 11.4955
angles (deg): 90.00 90.00 120.00
With the nearest neighbours (Å) after each atom.
Space group P-6m2 (No. 187)
Asymmetric unit:
Dy 0.0000 0.0000 0.2371 [2 per cell]  1 Ho 3.02, 3 Dy 3.24
Dy 0.3352 0.1676 0.0000 [3 per cell]  6 Dy 3.00-3.24
Ho 0.0000 0.0000 0.5000 [1 per cell]  2 Dy 3.02
Ho 0.3333 0.6667 0.1751 [2 per cell]  9 Dy 3.55-3.62, 1 Th 3.74
Ho 0.6667 0.3333 0.3475 [2 per cell]  4 Ho 3.51-3.90, 3 Dy 3.70, 3 Th 3.90
Th 0.3333 0.6667 0.5000 [1 per cell]  11 Ho 3.48-3.90

Summary:
Total DFT energy (no corrections) (eV for the cell shown): -49.387
ΔE_f (eV per formula unit): 3.93

***

Entry 2:
Compound: TaPtS2Cl
Source: the Alexandria database
Functional: PBE
Structure: relaxed

a b c (Å): 4.7074 4.7074 4.6591
angles (deg): 90.00 90.00 90.00
With the nearest neighbours (Å) after each atom.
Space group P4/mmm (No. 123)
Asymmetric unit:
Ta 0.0000 0.0000 0.0000 [1 per cell]  8 S 3.31, 4 Cl 3.33
Pt 0.5000 0.5000 0.5000 [1 per cell]  2 Cl 2.33, 4 S 2.35
S 0.0000 0.5000 0.5000 [2 per cell]  2 Pt 2.35
Cl 0.5000 0.5000 0.0000 [1 per cell]  2 Pt 2.33

Summary:
Total DFT energy (no corrections) (eV for the cell shown): -23.838
Energy above the lowest structure with this stoichiometry (meV per atom): 590.3

***

Entry 3:
Compound: ScBeIn2
Source: the Alexandria database
Functional: PBE
Structure: relaxed

a b c (Å): 4.4256 4.8889 7.3017
angles (deg): 90.00 90.00 90.00
With the nearest neighbours (Å) after each atom.
Space group Cmmm (No. 65)
Asymmetric unit:
Sc 0.0000 0.0000 0.0000 [2 per cell]  8 In 3.05-3.22, 4 Sc 3.30
Be 0.0000 0.0000 0.5000 [2 per cell]  8 In 2.70-2.90
In 0.0000 0.5000 0.2872 [4 per cell]  4 Be 2.70-2.90

Summary:
Total DFT energy (no corrections) (eV for the cell shown): -30.608
ΔE_f (eV per formula unit): 0.23

***

Entry 4:
Compound: PH3Os
Source: the Alexandria database
Functional: PBE
Structure: relaxed

a b c (Å): 3.3821 3.3821 3.3821
angles (deg): 90.00 90.00 90.00
With the nearest neighbours (Å) after each atom.
Space group Pm-3m (No. 221)
Asymmetric unit:
P 0.0000 0.0000 0.0000 [1 per cell]  6 H 1.69
H 0.0000 0.0000 0.5000 [3 per cell]  2 P 1.69
Os 0.5000 0.5000 0.5000 [1 per cell]  12 H 2.39

Summary:
Total DFT energy (no corrections) (eV for the cell shown): -20.020
Energy above the lowest structure with this stoichiometry (meV per atom): 604.6

***

Entry 5:
Compound: CaAl4Pb
Source: the Alexandria database
Functional: PBE
Structure: relaxed

a b c (Å): 8.0492 8.0492 8.0492
angles (deg): 90.00 90.00 90.00
With the nearest neighbours (Å) after each atom.
Space group F-43m (No. 216)
Asymmetric unit:
Ca 0.0000 0.0000 0.0000 [4 per cell]  12 Al 3.34, 4 Pb 3.49
Al 0.1247 0.1247 0.3753 [16 per cell]  6 Al 2.84-2.85
Pb 0.2500 0.2500 0.7500 [4 per cell]  12 Al 3.34, 4 Ca 3.49

Summary:
Total DFT energy (no corrections) (eV for the cell shown): -84.767
ΔE_f (eV per formula unit): -0.51

***

Entry 6:
Compound: Dy6Y2Cd
Source: the Alexandria database
Functional: PBE
Structure: relaxed

a b c (Å): 10.5198 10.5198 4.9478
angles (deg): 90.00 90.00 90.00
With the nearest neighbours (Å) after each atom.
Space group P4_2/mnm (No. 136)
Asymmetric unit:
Dy 0.0020 0.3341 0.0000 [8 per cell]  8 Dy 3.49-3.53, 1 Cd 3.51, 3 Y 3.52-3.55
Dy 0.1669 0.1669 0.5000 [4 per cell]  4 Y 3.45-3.56, 6 Dy 3.50-3.53, 2 Cd 3.50
Y 0.1610 0.8390 0.5000 [4 per cell]  2 Cd 3.44, 10 Dy 3.45-3.56
Cd 0.0000 0.0000 0.0000 [2 per cell]  4 Y 3.44, 8 Dy 3.50-3.51

Summary:
Total DFT energy (no corrections) (eV for the cell shown): -83.145
ΔE_f (eV per formula unit): -0.12